No. 1
VASP calculation (GGA-PBE) on K2TlRh after structural relaxation.

Density of states at the Fermi level, states/eV/cell: 2.6
Space group: Amm2
Total magnetization, μB/f.u.: 0.00
Energy of formation, eV/atom: 0.23

Lattice parameters (Å, degrees): 4.401 6.695 6.695 46.68 90.00 90.00
Positions (direct):
K1 0.000 0.000 0.000
K2 0.500 0.291 0.291
Tl1 0.500 0.592 0.592
Rh1 0.000 0.711 0.711

***

No. 2
VASP calculation (GGA-PBE) on KTlRh2 after structural relaxation.

Density of states at the Fermi level, states/eV/cell: 4.3
Space group: Pmm2
Total magnetization, μB/f.u.: 0.00
Energy of formation, eV/atom: 0.25

Lattice parameters (Å, degrees): 2.972 3.882 8.109 90.00 90.00 90.00
Positions (direct):
K1 0.000 0.000 0.000
Tl1 0.500 0.500 0.652
Rh1 0.000 0.000 0.413
Rh2 0.500 0.500 0.306

***

No. 3
VASP calculation (GGA-PBE) on K2TlRh after structural relaxation.

Density of states at the Fermi level, states/eV/cell: 1.4
Space group: Imm2
Total magnetization, μB/f.u.: 0.00
Energy of formation, eV/atom: 0.22

Lattice parameters (Å, degrees): 6.498 6.498 6.498 142.58 127.53 66.21
Positions (direct):
K1 0.000 0.000 0.000
K2 0.699 0.199 0.500
Tl1 0.413 0.413 0.000
Rh1 0.262 0.762 0.500

***

No. 4
VASP calculation (GGA-PBE) on KTl4Rh after structural relaxation.

Density of states at the Fermi level, states/eV/cell: 3.8
Space group: P4/mmm
Total magnetization, μB/f.u.: 0.00
Energy of formation, eV/atom: 0.04

Lattice parameters (Å, degrees): 5.284 5.284 8.351 90.00 90.00 90.00
Positions (direct):
K1 0.000 0.000 0.000
Tl1 0.000 0.500 0.500
Tl2 0.500 0.000 0.500
Tl3 0.500 0.500 0.178
Tl4 0.500 0.500 0.822
Rh1 0.500 0.500 0.500

***

No. 5
VASP calculation (GGA-PBE) on K2Tl6Rh after structural relaxation.

Density of states at the Fermi level, states/eV/cell: 6.7
Space group: C2/m
Total magnetization, μB/f.u.: 0.00
Energy of formation, eV/atom: -0.04

Lattice parameters (Å, degrees): 7.239 7.239 6.099 90.15 90.15 59.97
Positions (direct):
K1 0.166 0.166 0.207
K2 0.834 0.834 0.793
Tl1 0.162 0.668 0.295
Tl2 0.330 0.330 0.706
Tl3 0.332 0.838 0.705
Tl4 0.668 0.162 0.295
Tl5 0.670 0.670 0.294
Tl6 0.838 0.332 0.705
Rh1 0.500 0.500 0.000

***

No. 6
VASP calculation (GGA-PBE) on KTlRh2 after structural relaxation.

Density of states at the Fermi level, states/eV/cell: 3.4
Space group: Pm
Total magnetization, μB/f.u.: 0.00
Energy of formation, eV/atom: 0.25

Lattice parameters (Å, degrees): 2.940 4.197 7.853 90.00 100.35 90.00
Positions (direct):
K1 0.000 0.000 0.000
Tl1 0.334 0.500 0.653
Rh1 0.219 0.000 0.402
Rh2 0.680 0.500 0.325